Density functional theory data (PBE) for an optimized crystal structure of LiTaRh2.

Output
As for the density of states at the Fermi level: 0.75 states/eV per cell. The calculation puts the magnetic moment at 0.00 μB per formula unit. The space group is Fm-3m, No. 225. The distance to the lowest polymorph of the same formula comes out at 0 meV/atom. The total energy comes out at -30.68 eV/f.u. The calculation puts the formation energy at -0.554 eV per atom.

Unit cell a=4.3371 b=4.3371 c=4.3371 alpha=60.00 beta=60.00 gamma=60.00
With the nearest neighbours (Å) after each atom.
Atoms (fractional coordinates):
Li 0.0000 0.0000 0.0000  8 Rh 2.66
Rh 0.2500 0.2500 0.2500  4 Ta 2.66, 4 Li 2.66
Rh 0.7500 0.7500 0.7500  4 Ta 2.66, 4 Li 2.66
Ta 0.5000 0.5000 0.5000  8 Rh 2.66

***

Density functional theory data (PBE) for an optimized crystal structure of HoEr3Tl2.

Output
As for the density of states at the Fermi level: 14.91 states/eV per cell. The calculation puts the magnetic moment at 0.10 μB per formula unit. The space group is Cmmm, No. 65. The distance to the lowest polymorph of the same formula comes out at 74 meV/atom. The total energy comes out at -24.12 eV/f.u. The calculation puts the formation energy at -0.187 eV per atom.

Unit cell a=5.3375 b=7.5378 c=9.5351 alpha=113.28 beta=106.25 gamma=90.00
With the nearest neighbours (Å) after each atom.
Atoms (fractional coordinates):
Ho 0.0000 0.5000 0.0000  8 Er 3.27-3.52
Ho 0.0000 0.0000 0.0000  8 Er 3.27-3.52
Er 0.5000 0.2500 0.0000  4 Tl 3.18, 4 Ho 3.27
Er 0.5000 0.7500 0.0000  4 Tl 3.18, 4 Ho 3.27
Er 0.8222 0.0722 0.6443  6 Tl 3.29-3.39, 2 Ho 3.52, 2 Er 3.59
Er 0.1778 0.4278 0.3557  6 Tl 3.29-3.39, 2 Ho 3.52, 2 Er 3.59
Er 0.1778 0.9278 0.3557  6 Tl 3.29-3.39, 2 Ho 3.52, 2 Er 3.59
Er 0.8222 0.5722 0.6443  6 Tl 3.29-3.39, 2 Ho 3.52, 2 Er 3.59
Tl 0.3464 0.3466 0.6931  8 Er 3.18-3.39
Tl 0.6532 0.1534 0.3069  8 Er 3.18-3.39
Tl 0.3468 0.8466 0.6931  8 Er 3.18-3.39
Tl 0.6536 0.6534 0.3069  8 Er 3.18-3.39